Record 1
5
Lattice="3.2733 -1.8957 0.0000 3.2733 1.8957 0.0000 -2.1931 0.0000 9.3740" Properties=species:S:1:pos:R:3 comment="SnPb2N2 GGA-PBE optimized geometry" e_tot_ev_per_atom=-4.818 polymorph_energy_ev_per_atom=0.2960 e_form_raw_mev_per_atom=796 dos_ef_per_ev_atom=0.563 pbc="T T T"
Sn 0.0000 0.0000 0.0000
Pb -0.0096 0.0000 3.1559
Pb 4.3631 0.0000 6.2182
N 0.0004 0.0000 5.6040
N 4.3531 0.0000 3.7701

Record 2
5
Lattice="5.7760 0.0000 0.0000 -2.8880 5.0022 0.0000 0.0000 0.0000 6.6300" Properties=species:S:1:pos:R:3 comment="BaLiAcTl2 GGA-PBE optimized geometry" e_tot_ev_per_atom=-2.706 dos_ef_per_ev_atom=0.431 e_form_ev_per_atom=-0.1703 pbc="T T T"
Ba 0.0000 0.0000 0.0000
Li 0.0000 3.3348 5.0993
Ac 2.8880 1.6674 2.8943
Tl 0.0000 3.3348 1.8957
Tl 2.8880 1.6674 6.2081

Record 3
10
Lattice="-6.4528 6.4528 3.6245 6.4528 -6.4528 3.6245 6.4528 6.4528 -3.6245" Properties=species:S:1:pos:R:3 comment="Ba5Sr4Ac GGA-PBE optimized geometry" e_tot_ev_per_atom=-1.832 polymorph_energy_ev_per_atom=0.1787 dos_ef_per_ev_atom=1.805 e_form_ev_per_atom=0.2134 pbc="T T T"
Ba 0.0000 0.0000 0.0000
Ba 4.0594 4.0594 -1.6967
Ba 2.3934 -2.3934 1.9279
Ba -2.3934 2.3934 1.9279
Ba 2.3934 2.3934 1.9279
Sr 6.4528 -2.3966 1.7827
Sr 6.4528 2.3966 1.7827
Sr -2.3966 6.4528 1.7827
Sr 2.3966 6.4528 1.7827
Ac 0.0000 0.0000 3.8469

Record 4
6
Lattice="0.0000 4.4191 4.4191 4.4191 0.0000 4.4191 4.4191 4.4191 0.0000" Properties=species:S:1:pos:R:3 comment="ZrSiPb4 GGA-PBE optimized geometry" e_tot_ev_per_atom=-4.164 e_form_raw_mev_per_atom=637 dos_ef_per_ev_atom=1.097 pbc="T T T"
Zr 0.0000 0.0000 0.0000
Si 6.6287 6.6287 6.6287
Pb 3.3143 3.3143 3.3143
Pb 5.5239 5.5239 3.3143
Pb 5.5239 3.3143 5.5239
Pb 3.3143 5.5239 5.5239

Repeat the third record exactly.
10
Lattice="-6.4528 6.4528 3.6245 6.4528 -6.4528 3.6245 6.4528 6.4528 -3.6245" Properties=species:S:1:pos:R:3 comment="Ba5Sr4Ac GGA-PBE optimized geometry" e_tot_ev_per_atom=-1.832 polymorph_energy_ev_per_atom=0.1787 dos_ef_per_ev_atom=1.805 e_form_ev_per_atom=0.2134 pbc="T T T"
Ba 0.0000 0.0000 0.0000
Ba 4.0594 4.0594 -1.6967
Ba 2.3934 -2.3934 1.9279
Ba -2.3934 2.3934 1.9279
Ba 2.3934 2.3934 1.9279
Sr 6.4528 -2.3966 1.7827
Sr 6.4528 2.3966 1.7827
Sr -2.3966 6.4528 1.7827
Sr 2.3966 6.4528 1.7827
Ac 0.0000 0.0000 3.8469